1.
First-principles (PBE-GGA) data for crystalline LiCl3 at its relaxed geometry, as listed in Alexandria.

abc: 7.424 7.424 4.426
angles: 90.00 90.00 144.54
Sites, in units of the cell vectors:
Cl 0.500 0.500 0.000
Cl 0.500 0.000 0.500
Cl 0.000 0.500 0.500
Li 0.000 0.000 0.000

Summary:
* V: 141.5 Å³/f.u.
* VASP energy: -2.51 eV/atom
* polymorph energy (0 for the lowest one): 86 kJ/mol of formula units



2.
First-principles (PBE-GGA) data for crystalline CaZr3Tc at its relaxed geometry, as listed in Alexandria.

abc: 4.869 4.869 4.869
angles: 90.00 90.00 90.00
Sites, in units of the cell vectors:
Zr 0.000 0.000 0.500
Zr 0.500 0.000 0.000
Zr 0.000 0.500 0.000
Ca 0.000 0.000 0.000
Tc 0.500 0.500 0.500

Summary:
* E_form: 2.0028 eV/atom
* V: 115.5 Å³/f.u.
* VASP energy: -5.60 eV/atom
* polymorph energy (0 for the lowest one): 824 kJ/mol of formula units



3.
First-principles (PBE-GGA) data for crystalline Ba8CdPd2Rh at its relaxed geometry, as listed in Alexandria.

abc: 7.764 7.586 9.634
angles: 90.00 90.00 89.12
Sites, in units of the cell vectors:
Pd 0.500 0.500 0.242
Pd 0.500 0.500 0.758
Ba 0.655 0.713 0.500
Ba 0.825 0.232 0.774
Ba 0.175 0.768 0.774
Ba 0.318 0.262 0.000
Ba 0.175 0.768 0.226
Ba 0.682 0.738 0.000
Ba 0.825 0.232 0.226
Ba 0.345 0.287 0.500
Cd 0.000 0.000 0.500
Rh 0.000 0.000 0.000

Summary:
* E_form: -0.2874 eV/atom
* V: 567.3 Å³/f.u.
* VASP energy: -3.12 eV/atom



4.
First-principles (PBE-GGA) data for crystalline SrMnBeAl2 at its relaxed geometry, as listed in Alexandria.

abc: 4.639 4.498 4.639
angles: 90.00 90.00 90.00
Sites, in units of the cell vectors:
Al 0.000 0.000 0.500
Al 0.500 0.000 0.000
Sr 0.500 0.500 0.500
Mn 0.000 0.000 0.000
Be 0.000 0.500 0.000

Summary:
* E_form: 0.0621 eV/atom
* V: 96.8 Å³/f.u.
* VASP energy: -4.35 eV/atom



5.
First-principles (PBE-GGA) data for crystalline PbC2S2N2 at its relaxed geometry, as listed in Alexandria.

abc: 6.016 6.016 8.363
angles: 89.14 89.14 66.37
Sites, in units of the cell vectors:
S 0.242 0.351 0.669
S 0.758 0.649 0.331
S 0.351 0.242 0.169
S 0.649 0.758 0.831
N 0.155 0.726 0.059
N 0.274 0.845 0.441
N 0.726 0.155 0.559
N 0.845 0.274 0.941
C 0.760 0.479 0.895
C 0.240 0.521 0.105
C 0.479 0.760 0.395
C 0.521 0.240 0.605
Pb 0.905 0.095 0.250
Pb 0.095 0.905 0.750

Summary:
* V: 138.6 Å³/f.u.
* VASP energy: -6.62 eV/atom



6.
First-principles (PBE-GGA) data for crystalline TmMg8Sc2 at its relaxed geometry, as listed in Alexandria.

abc: 5.111 7.686 8.290
angles: 117.62 107.95 90.00
Sites, in units of the cell vectors:
Tm 0.500 0.000 0.000
Mg 0.000 0.699 0.000
Mg 0.641 0.835 0.283
Mg 0.359 0.165 0.717
Mg 0.000 0.301 0.000
Mg 0.641 0.448 0.283
Mg 0.846 0.846 0.693
Mg 0.154 0.154 0.307
Mg 0.359 0.552 0.717
Sc 0.787 0.287 0.574
Sc 0.213 0.713 0.426

Summary:
* E_form: 0.0811 eV/atom
* V: 270.5 Å³/f.u.
* VASP energy: -2.64 eV/atom



7.
First-principles (PBE-GGA) data for crystalline CuHgOF2 at its relaxed geometry, as listed in Alexandria.

abc: 3.422 5.377 7.151
angles: 90.00 90.00 108.56
Sites, in units of the cell vectors:
Hg 0.271 0.542 0.750
Hg 0.729 0.458 0.250
O 0.073 0.147 0.250
O 0.927 0.853 0.750
F 0.368 0.735 0.433
F 0.632 0.265 0.933
F 0.632 0.265 0.567
F 0.368 0.735 0.067
Cu 0.000 0.000 0.500
Cu 0.000 0.000 0.000

Summary:
* V: 62.4 Å³/f.u.
* VASP energy: -3.58 eV/atom
* polymorph energy (0 for the lowest one): 0 kJ/mol of formula units



8.
First-principles (PBE-GGA) data for crystalline RhC3 at its relaxed geometry, as listed in Alexandria.

abc: 6.947 2.553 4.280
angles: 90.00 90.00 90.00
Sites, in units of the cell vectors:
C 0.000 0.500 0.244
C 0.307 0.000 0.390
C 0.693 0.000 0.390
C 0.807 0.500 0.390
C 0.193 0.500 0.390
C 0.500 0.000 0.244
Rh 0.000 0.500 0.779
Rh 0.500 0.000 0.779

Summary:
* E_form: 0.8657 eV/atom
* V: 38.0 Å³/f.u.
* VASP energy: -7.89 eV/atom
* polymorph energy (0 for the lowest one): 115 kJ/mol of formula units